1.
Density functional theory data (PBE) for Sr2Al2InPd5 after structural relaxation.

* D(E_F): 0.381 states/eV/atom
* total magnetic moment: 0.00 μB per formula unit
* E_form: -0.668 eV/atom
* crystal system: tetragonal
* symmetry: P4/mbm (127)

a b c (Å): 10.6567 10.6567 3.4895
angles (deg): 90.00 90.00 90.00
Closest atoms and distances in Å follow each position.
Positions (direct):
Sr1 0.1775 0.3225 0.0000  3 Al 3.03-3.24, 10 Pd 3.19-3.31
Sr2 0.3225 0.8225 0.0000  3 Al 3.03-3.24, 10 Pd 3.19-3.31
Sr3 0.6775 0.1775 0.0000  3 Al 3.03-3.24, 10 Pd 3.19-3.31
Sr4 0.8225 0.6775 0.0000  3 Al 3.03-3.24, 10 Pd 3.19-3.31
Al1 0.1212 0.6212 0.0000  6 Pd 2.53-2.58
Al2 0.3788 0.1212 0.0000  6 Pd 2.53-2.58
Al3 0.6212 0.8788 0.0000  6 Pd 2.53-2.58
Al4 0.8788 0.3788 0.0000  6 Pd 2.53-2.58
In1 0.0000 0.0000 0.0000  8 Pd 2.92
In2 0.5000 0.5000 0.0000  8 Pd 2.92
Pd1 0.0000 0.5000 0.5000  4 Al 2.53
Pd2 0.0618 0.7889 0.5000  2 Al 2.58
Pd3 0.2111 0.0618 0.5000  2 Al 2.58
Pd4 0.2889 0.5618 0.5000  2 Al 2.58
Pd5 0.4382 0.2889 0.5000  2 Al 2.58
Pd6 0.5000 0.0000 0.5000  4 Al 2.53
Pd7 0.5618 0.7111 0.5000  2 Al 2.58
Pd8 0.7111 0.4382 0.5000  2 Al 2.58
Pd9 0.7889 0.9382 0.5000  2 Al 2.58
Pd10 0.9382 0.2111 0.5000  2 Al 2.58



2.
Density functional theory data (PBE) for EuPuCuIr after structural relaxation.

* D(E_F): 3.073 states/eV/atom
* total magnetic moment: 12.27 μB per formula unit
* E_form: -0.186 eV/atom
* crystal system: cubic
* symmetry: F-43m (216)

a b c (Å): 4.9395 4.9395 4.9395
angles (deg): 60.00 60.00 60.00
Closest atoms and distances in Å follow each position.
Positions (direct):
Eu1 0.0000 0.0000 0.0000  4 Cu 3.02, 4 Ir 3.02
Pu1 0.5000 0.5000 0.5000  4 Ir 3.02, 4 Cu 3.02
Cu1 0.2500 0.2500 0.2500  4 Pu 3.02, 4 Eu 3.02
Ir1 0.7500 0.7500 0.7500  4 Pu 3.02, 4 Eu 3.02